A relaxed structure of La3MgGe, computed with PBE.

```
5
Lattice="5.809 0.000 0.000 0.000 5.809 0.000 0.000 0.000 5.809" Properties=species:S:1:pos:R:3 pbc="T T T"
La 0.000 0.000 2.905
La 0.000 2.905 0.000
La 2.905 0.000 0.000
Mg 2.905 2.905 2.905
Ge 0.000 0.000 0.000
```

**Volume**: 39.21 Å³ per atom
**Energy relative to the elements**: -2.59 kcal/mol of atoms
**M_tot**: 1.2 μB/f.u.
**Raw total energy**: -4.31 eV/atom
**D(E_F)**: 7.78 states/eV per cell